A:
Entry from OQMD: a relaxed TmMgSb crystal (PBE-GGA).

```
3
Lattice="0.000 3.494 3.494 3.494 0.000 3.494 3.494 3.494 0.000" Properties=species:S:1:pos:R:3 pbc="T T T"
Tm 0.000 0.000 0.000
Mg 3.494 3.494 3.494
Sb 5.241 5.241 5.241
```

B:
Entry from OQMD: a relaxed TmMgSb crystal (PBE-GGA).

```
3
Lattice="0.000 3.572 3.572 3.572 0.000 3.572 3.572 3.572 0.000" Properties=species:S:1:pos:R:3 pbc="T T T"
Tm 0.000 0.000 0.000
Mg 5.358 5.358 5.358
Sb 1.786 1.786 1.786
```

Most stable to least stable, the ends of the list are A and B.

A:
Entry from OQMD: a relaxed SmMgSc crystal (PBE-GGA).

```
3
Lattice="0.000 3.621 3.621 3.621 0.000 3.621 3.621 3.621 0.000" Properties=species:S:1:pos:R:3 pbc="T T T"
Sm 0.000 0.000 0.000
Mg 5.431 5.431 5.431
Sc 1.810 1.810 1.810
```

B:
Entry from OQMD: a relaxed SmMgSc crystal (PBE-GGA).

```
3
Lattice="0.000 3.596 3.596 3.596 0.000 3.596 3.596 3.596 0.000" Properties=species:S:1:pos:R:3 pbc="T T T"
Sm 0.000 0.000 0.000
Mg 5.395 5.395 5.395
Sc 3.596 3.596 3.596
```

Most stable to least stable, the ends of the list are B and A.